K2AcFeF8 after structural relaxation, computed with PBE+U.

a b c (Å): 4.418 6.088 7.543
angles (deg): 89.03 89.30 84.55
Element x y z (fractional)
K1 0.010 0.497 0.226
K2 0.990 0.503 0.774
Ac1 0.500 0.000 0.500
Fe1 0.500 0.000 0.000
F1 0.009 0.227 0.506
F2 0.139 0.179 0.001
F3 0.409 0.812 0.205
F4 0.421 0.790 0.781
F5 0.579 0.210 0.219
F6 0.591 0.188 0.795
F7 0.861 0.821 0.999
F8 0.991 0.773 0.494

Computed properties:
Crystal system   triclinic
Energy   -5.252 eV per atom
Symmetry   P-1